[1]
A plane-wave DFT calculation with PBE was carried out for a geometry-optimized Pm6Hg2SbTe3 structure.

Summary:
As for the total energy: -4.61 eV/atom. The density of states at the Fermi level is 13.9 states/eV per cell. The raw formation energy comes out at -1.0581 eV per atom.

```
data_Pm6Hg2SbTe3
_chemical_formula_sum 'Pm12 Hg4 Sb2 Te6'
_space_group_name_H-M_alt 'C 1 2/m 1'
_space_group_IT_number 12
_space_group_name_Hall '-C 2y'
_cell_length_a 19.9152
_cell_length_b 4.3937
_cell_length_c 9.0585
_cell_angle_alpha 90.00
_cell_angle_beta 108.74
_cell_angle_gamma 90.00
loop_
_atom_site_label
_atom_site_type_symbol
_atom_site_fract_x
_atom_site_fract_y
_atom_site_fract_z
_atom_site_occupancy
Pm1 Pm 0.0059 0.0000 0.2485 1
Pm2 Pm 0.1627 0.5000 0.6070 1
Pm3 Pm 0.1678 0.5000 0.1105 1
Hg1 Hg 0.1789 0.0000 0.3722 1
Sb1 Sb 0.0000 0.5000 0.0000 1
Te1 Te 0.0000 0.5000 0.5000 1
Te2 Te 0.1628 0.0000 0.8558 1
```


[2]
A plane-wave DFT calculation with PBE was carried out for a geometry-optimized CaHfBe2O structure.

Summary:
As for the total energy: -3.30 eV/atom. The density of states at the Fermi level is 4.2 states/eV per cell. The raw formation energy comes out at 1.5694 eV per atom.

```
data_CaHfBe2O
_chemical_formula_sum 'Ca1 Hf1 Be2 O1'
_space_group_name_H-M_alt 'P 4/m m m'
_space_group_IT_number 123
_space_group_name_Hall '-P 4 2'
_cell_length_a 4.5235
_cell_length_b 4.5235
_cell_length_c 6.6228
_cell_angle_alpha 90.00
_cell_angle_beta 90.00
_cell_angle_gamma 90.00
loop_
_atom_site_label
_atom_site_type_symbol
_atom_site_fract_x
_atom_site_fract_y
_atom_site_fract_z
_atom_site_occupancy
Ca1 Ca 0.0000 0.0000 0.0000 1
Hf1 Hf 0.0000 0.0000 0.5000 1
Be1 Be 0.0000 0.5000 0.5000 1
O1 O 0.5000 0.5000 0.0000 1
```


[3]
A plane-wave DFT calculation with PBE was carried out for a geometry-optimized GeSe3Cl structure.

Summary:
As for the total energy: -2.59 eV/atom. The polymorph energy (0 for the lowest one) comes out at 1.022 eV/atom. The density of states at the Fermi level is 2.4 states/eV per cell. The raw formation energy comes out at 0.7944 eV per atom.

```
data_GeSe3Cl
_chemical_formula_sum 'Ge1 Se3 Cl1'
_space_group_name_H-M_alt 'P m -3 m'
_space_group_IT_number 221
_space_group_name_Hall '-P 4 2 3'
_cell_length_a 4.9809
_cell_length_b 4.9809
_cell_length_c 4.9809
_cell_angle_alpha 90.00
_cell_angle_beta 90.00
_cell_angle_gamma 90.00
loop_
_atom_site_label
_atom_site_type_symbol
_atom_site_fract_x
_atom_site_fract_y
_atom_site_fract_z
_atom_site_occupancy
Ge1 Ge 0.0000 0.0000 0.0000 1
Se1 Se 0.0000 0.5000 0.5000 1
Cl1 Cl 0.5000 0.5000 0.5000 1
```


[4]
A plane-wave DFT calculation with PBE was carried out for a geometry-optimized HfZr2TiIr2 structure.

Summary:
As for the total energy: -9.38 eV/atom. The density of states at the Fermi level is 22.2 states/eV per cell.

```
data_HfZr2TiIr2
_chemical_formula_sum 'Hf4 Zr8 Ti4 Ir8'
_space_group_name_H-M_alt 'I b a m'
_space_group_IT_number 72
_space_group_name_Hall '-I 2 2c'
_cell_length_a 6.1142
_cell_length_b 12.9875
_cell_length_c 6.0998
_cell_angle_alpha 90.00
_cell_angle_beta 90.00
_cell_angle_gamma 90.00
loop_
_atom_site_label
_atom_site_type_symbol
_atom_site_fract_x
_atom_site_fract_y
_atom_site_fract_z
_atom_site_occupancy
Hf1 Hf 0.0000 0.0000 0.2500 1
Zr1 Zr 0.2295 0.3170 0.0000 1
Ti1 Ti 0.0000 0.5000 0.2500 1
Ir1 Ir 0.2363 0.3827 0.5000 1
```


[5]
A plane-wave DFT calculation with PBE was carried out for a geometry-optimized BiP structure.

Summary:
As for the total energy: -4.36 eV/atom. The polymorph energy (0 for the lowest one) comes out at 0.217 eV/atom. The density of states at the Fermi level is 1.2 states/eV per cell.

```
data_BiP
_chemical_formula_sum 'Bi8 P8'
_space_group_name_H-M_alt 'I 4/m'
_space_group_IT_number 87
_space_group_name_Hall '-I 4'
_cell_length_a 11.8375
_cell_length_b 11.8375
_cell_length_c 3.9496
_cell_angle_alpha 90.00
_cell_angle_beta 90.00
_cell_angle_gamma 90.00
loop_
_atom_site_label
_atom_site_type_symbol
_atom_site_fract_x
_atom_site_fract_y
_atom_site_fract_z
_atom_site_occupancy
Bi1 Bi 0.1117 0.2276 0.0000 1
P1 P 0.1320 0.6708 0.0000 1
```


[6]
A plane-wave DFT calculation with PBE was carried out for a geometry-optimized Ac2Sm2In3 structure.

Summary:
As for the total energy: -4.03 eV/atom. The polymorph energy (0 for the lowest one) comes out at 0.000 eV/atom. The density of states at the Fermi level is 4.3 states/eV per cell.

```
data_Ac2Sm2In3
_chemical_formula_sum 'Ac2 Sm2 In3'
_space_group_name_H-M_alt 'P -1'
_space_group_IT_number 2
_space_group_name_Hall '-P 1'
_cell_length_a 4.0199
_cell_length_b 6.4049
_cell_length_c 9.1040
_cell_angle_alpha 91.72
_cell_angle_beta 90.06
_cell_angle_gamma 108.22
loop_
_atom_site_label
_atom_site_type_symbol
_atom_site_fract_x
_atom_site_fract_y
_atom_site_fract_z
_atom_site_occupancy
Ac1 Ac 0.2130 0.4268 0.1657 1
Sm1 Sm 0.0542 0.1073 0.6954 1
In1 In 0.3421 0.6842 0.5402 1
In2 In 0.5000 0.0000 0.0000 1
```


[7]
A plane-wave DFT calculation with PBE was carried out for a geometry-optimized GdYSe2 structure.

Summary:
As for the total energy: -8.70 eV/atom. The density of states at the Fermi level is 6.7 states/eV per cell. The raw formation energy comes out at -1.8176 eV per atom.

```
data_GdYSe2
_chemical_formula_sum 'Gd3 Y3 Se6'
_space_group_name_H-M_alt 'R -3 m'
_space_group_IT_number 166
_space_group_name_Hall '-R 3 2"'
_cell_length_a 4.1145
_cell_length_b 4.1145
_cell_length_c 20.0690
_cell_angle_alpha 90.00
_cell_angle_beta 90.00
_cell_angle_gamma 120.00
loop_
_atom_site_label
_atom_site_type_symbol
_atom_site_fract_x
_atom_site_fract_y
_atom_site_fract_z
_atom_site_occupancy
Gd1 Gd 0.0000 0.0000 0.0000 1
Y1 Y 0.0000 0.0000 0.5000 1
Se1 Se 0.0000 0.0000 0.2490 1
```


[8]
A plane-wave DFT calculation with PBE was carried out for a geometry-optimized LaPrNiPt structure.

Summary:
As for the total energy: -6.12 eV/atom. The polymorph energy (0 for the lowest one) comes out at 0.000 eV/atom. The density of states at the Fermi level is 5.5 states/eV per cell.

```
data_LaPrNiPt
_chemical_formula_sum 'La2 Pr2 Ni2 Pt2'
_space_group_name_H-M_alt 'A m m 2'
_space_group_IT_number 38
_space_group_name_Hall 'A 2 -2'
_cell_length_a 4.4901
_cell_length_b 3.9687
_cell_length_c 10.8432
_cell_angle_alpha 90.00
_cell_angle_beta 90.00
_cell_angle_gamma 90.00
loop_
_atom_site_label
_atom_site_type_symbol
_atom_site_fract_x
_atom_site_fract_y
_atom_site_fract_z
_atom_site_occupancy
La1 La 0.0000 0.0000 0.0000 1
Pr1 Pr 0.5000 0.0000 0.7257 1
Ni1 Ni 0.5000 0.0000 0.4446 1
Pt1 Pt 0.0000 0.0000 0.2843 1
```